{
  "formula": "CuNiClF2",
  "functional": "PBE with a Hubbard U",
  "state": "optimized geometry",
  "lattice_angstrom": [[-4.806, 0.049, -0.338], [-0.048, -4.817, -0.009], [-0.289, -0.005, 4.104]],
  "species": ["F", "F", "Cu", "Ni", "Cl"],
  "fractional_positions": [[0.500, 0.000, 0.000], [0.000, 0.500, 0.000], [0.500, 0.500, 0.500], [0.000, 0.000, 0.500], [0.000, 0.000, 0.000]],
  "total_energy_ev_per_atom": -2.22,
  "spacegroup": "P4/mmm"
}